Compound: Na
Source: Alexandria
Functional: PBE-GGA
Structure: optimized geometry

Cell lengths 8.555, 4.503, 8.176 Å; angles 90.00, 90.00, 90.00 degrees
Fractional positions:
Na: 0.032 0.250 0.163
Na: 0.162 0.250 0.574
Na: 0.338 0.750 0.074
Na: 0.468 0.750 0.663
Na: 0.532 0.250 0.337
Na: 0.662 0.250 0.926
Na: 0.838 0.750 0.426
Na: 0.968 0.750 0.837

Output
Electronic total energy   -1.2395 eV/atom
Formation energy   0.08 eV per atom
Magnetization   0.00 μB/f.u.
Polymorph energy (0 for the lowest one)   0.0796 eV/atom

---

Compound: Na
Source: Alexandria
Functional: PBE-GGA
Structure: optimized geometry

Cell lengths 3.740, 3.740, 6.108 Å; angles 90.00, 90.00, 120.00 degrees
Fractional positions:
Na: 0.333 0.667 0.250
Na: 0.667 0.333 0.750

Output
Electronic total energy   -1.3100 eV/atom
Formation energy   0.01 eV per atom
Magnetization   0.00 μB/f.u.
Polymorph energy (0 for the lowest one)   0.0091 eV/atom

---

Compound: Na
Source: Alexandria
Functional: PBE-GGA
Structure: optimized geometry

Cell lengths 5.894, 5.894, 3.416 Å; angles 90.00, 90.00, 120.00 degrees
Fractional positions:
Na: 0.333 0.667 0.000
Na: 0.667 0.333 0.000

Output
Electronic total energy   -1.0679 eV/atom
Formation energy   0.25 eV per atom
Magnetization   0.00 μB/f.u.
Polymorph energy (0 for the lowest one)   0.2511 eV/atom

---

Compound: Na
Source: Alexandria
Functional: PBE-GGA
Structure: optimized geometry

Cell lengths 4.973, 4.973, 4.973 Å; angles 97.39, 97.39, 137.96 degrees
Fractional positions:
Na: 0.375 0.625 0.750
Na: 0.625 0.375 0.250

Output
Electronic total energy   -1.2383 eV/atom
Formation energy   0.08 eV per atom
Magnetization   0.00 μB/f.u.
Polymorph energy (0 for the lowest one)   0.0807 eV/atom

---

Compound: Na
Source: Alexandria
Functional: PBE-GGA
Structure: optimized geometry

Cell lengths 5.799, 5.799, 6.145 Å; angles 90.00, 90.00, 120.00 degrees
Fractional positions:
Na: 0.000 0.000 0.250
Na: 0.000 0.000 0.750
Na: 0.333 0.667 0.250
Na: 0.667 0.333 0.750

Output
Electronic total energy   -1.1135 eV/atom
Formation energy   0.21 eV per atom
Magnetization   0.00 μB/f.u.
Polymorph energy (0 for the lowest one)   0.2055 eV/atom

---

Compound: Na
Source: Alexandria
Functional: PBE-GGA
Structure: optimized geometry

Cell lengths 3.412, 3.412, 3.412 Å; angles 90.00, 90.00, 90.00 degrees
Fractional positions:
Na: 0.000 0.000 0.000

Output
Electronic total energy   -1.1919 eV/atom
Formation energy   0.13 eV per atom
Magnetization   0.00 μB/f.u.
Polymorph energy (0 for the lowest one)   0.1272 eV/atom

---

Compound: Na
Source: Alexandria
Functional: PBE-GGA
Structure: optimized geometry

Cell lengths 6.673, 6.673, 6.673 Å; angles 90.00, 90.00, 90.00 degrees
Fractional positions:
Na: 0.000 0.000 0.000
Na: 0.000 0.250 0.500
Na: 0.000 0.750 0.500
Na: 0.250 0.500 0.000
Na: 0.500 0.000 0.250
Na: 0.500 0.000 0.750
Na: 0.500 0.500 0.500
Na: 0.750 0.500 0.000

Output
Electronic total energy   -1.2959 eV/atom
Formation energy   0.02 eV per atom
Magnetization   0.00 μB/f.u.
Polymorph energy (0 for the lowest one)   0.0231 eV/atom

---

Compound: Na
Source: Alexandria
Functional: PBE-GGA
Structure: optimized geometry

Cell lengths 3.699, 3.699, 12.517 Å; angles 90.00, 90.00, 120.00 degrees
Fractional positions:
Na: 0.000 0.000 0.000
Na: 0.000 0.000 0.500
Na: 0.333 0.667 0.250
Na: 0.667 0.333 0.750

Output
Electronic total energy   -1.3102 eV/atom
Formation energy   0.01 eV per atom
Magnetization   0.00 μB/f.u.
Polymorph energy (0 for the lowest one)   0.0089 eV/atom

---

Compound: Na
Source: Alexandria
Functional: PBE-GGA
Structure: optimized geometry

Cell lengths 3.596, 3.735, 6.452 Å; angles 82.58, 73.89, 62.41 degrees
Fractional positions:
Na: 0.126 0.250 0.249
Na: 0.874 0.750 0.751

Output
Electronic total energy   -1.2989 eV/atom
Formation energy   0.02 eV per atom
Magnetization   0.00 μB/f.u.
Polymorph energy (0 for the lowest one)   0.0202 eV/atom

---

Compound: Na
Source: Alexandria
Functional: PBE-GGA
Structure: optimized geometry

Cell lengths 5.353, 5.353, 5.353 Å; angles 60.00, 60.00, 60.00 degrees
Fractional positions:
Na: 0.125 0.125 0.125
Na: 0.875 0.875 0.875

Output
Electronic total energy   -0.9742 eV/atom
Formation energy   0.34 eV per atom
Magnetization   0.00 μB/f.u.
Polymorph energy (0 for the lowest one)   0.3449 eV/atom

---

Compound: Na
Source: Alexandria
Functional: PBE-GGA
Structure: optimized geometry

Cell lengths 3.659, 3.659, 3.900 Å; angles 121.71, 121.71, 65.32 degrees
Fractional positions:
Na: 0.000 0.000 0.000

Output
Electronic total energy   -1.3131 eV/atom
Formation energy   0.01 eV per atom
Magnetization   0.00 μB/f.u.
Polymorph energy (0 for the lowest one)   0.0059 eV/atom

---

Compound: Na
Source: Alexandria
Functional: PBE-GGA
Structure: optimized geometry

Cell lengths 8.195, 8.195, 8.195 Å; angles 130.55, 130.55, 72.53 degrees
Fractional positions:
Na: 0.054 0.804 0.609
Na: 0.196 0.304 0.250
Na: 0.304 0.554 0.109
Na: 0.446 0.054 0.750
Na: 0.554 0.946 0.250
Na: 0.696 0.446 0.891
Na: 0.804 0.696 0.750
Na: 0.946 0.196 0.391

Output
Electronic total energy   -1.2382 eV/atom
Formation energy   0.08 eV per atom
Magnetization   0.00 μB/f.u.
Polymorph energy (0 for the lowest one)   0.0808 eV/atom

---

Compound: Na
Source: Alexandria
Functional: PBE-GGA
Structure: optimized geometry

Cell lengths 9.783, 9.783, 5.840 Å; angles 90.00, 90.00, 120.00 degrees
Fractional positions:
Na: 0.074 0.820 0.250
Na: 0.103 0.614 0.750
Na: 0.180 0.253 0.250
Na: 0.253 0.074 0.750
Na: 0.386 0.489 0.750
Na: 0.489 0.103 0.250
Na: 0.511 0.897 0.750
Na: 0.614 0.511 0.250
Na: 0.747 0.926 0.250
Na: 0.820 0.747 0.750
Na: 0.897 0.386 0.250
Na: 0.926 0.180 0.750

Output
Electronic total energy   -1.2463 eV/atom
Formation energy   0.07 eV per atom
Magnetization   0.00 μB/f.u.
Polymorph energy (0 for the lowest one)   0.0727 eV/atom

---

Compound: Na
Source: Alexandria
Functional: PBE-GGA
Structure: optimized geometry

Cell lengths 8.227, 8.227, 8.227 Å; angles 109.47, 109.47, 109.47 degrees
Fractional positions:
Na: 0.250 0.500 0.750
Na: 0.250 0.750 0.500
Na: 0.500 0.250 0.750
Na: 0.500 0.750 0.250
Na: 0.750 0.250 0.500
Na: 0.750 0.500 0.250

Output
Electronic total energy   -0.9392 eV/atom
Formation energy   0.38 eV per atom
Magnetization   0.00 μB/f.u.
Polymorph energy (0 for the lowest one)   0.3799 eV/atom

---

Compound: NaNb
Source: Alexandria
Functional: PBE-GGA
Structure: optimized geometry

Cell lengths 10.060, 10.060, 2.965 Å; angles 90.00, 90.00, 120.00 degrees
Fractional positions:
Na: 0.142 0.293 0.250
Na: 0.152 0.858 0.250
Na: 0.293 0.152 0.750
Na: 0.707 0.848 0.250
Na: 0.848 0.142 0.750
Na: 0.858 0.707 0.750
Nb: 0.142 0.572 0.750
Nb: 0.428 0.570 0.750
Nb: 0.430 0.858 0.750
Nb: 0.570 0.142 0.250
Nb: 0.572 0.430 0.250
Nb: 0.858 0.428 0.250

Output
Electronic total energy   -5.0196 eV/atom
Formation energy   0.67 eV per atom
Magnetization   0.00 μB/f.u.
Polymorph energy (0 for the lowest one)   0.1246 eV/atom

---

Compound: NaNb
Source: Alexandria
Functional: PBE-GGA
Structure: optimized geometry

Cell lengths 2.618, 5.028, 6.751 Å; angles 90.00, 93.28, 90.00 degrees
Fractional positions:
Na: 0.219 0.250 0.385
Na: 0.781 0.750 0.615
Nb: 0.266 0.750 0.069
Nb: 0.734 0.250 0.931

Output
Electronic total energy   -5.0721 eV/atom
Formation energy   0.62 eV per atom
Magnetization   0.00 μB/f.u.
Polymorph energy (0 for the lowest one)   0.0721 eV/atom

---

Compound: NaNb
Source: Alexandria
Functional: PBE-GGA
Structure: optimized geometry

Cell lengths 4.918, 4.918, 5.540 Å; angles 90.00, 90.00, 120.00 degrees
Fractional positions:
Na: 0.333 0.667 0.250
Na: 0.667 0.333 0.750
Nb: 0.333 0.667 0.750
Nb: 0.667 0.333 0.250

Output
Electronic total energy   -2.9110 eV/atom
Formation energy   2.78 eV per atom
Magnetization   0.62 μB/f.u.
Polymorph energy (0 for the lowest one)   2.2332 eV/atom

---

Compound: NaNb
Source: Alexandria
Functional: PBE-GGA
Structure: optimized geometry

Cell lengths 9.786, 9.786, 9.786 Å; angles 91.26, 91.26, 162.93 degrees
Fractional positions:
Na: 0.044 0.330 0.374
Na: 0.330 0.956 0.286
Na: 0.670 0.044 0.714
Na: 0.956 0.670 0.626
Nb: 0.180 0.774 0.954
Nb: 0.226 0.180 0.405
Nb: 0.774 0.820 0.595
Nb: 0.820 0.226 0.046

Output
Electronic total energy   -4.6349 eV/atom
Formation energy   1.06 eV per atom
Magnetization   0.00 μB/f.u.
Polymorph energy (0 for the lowest one)   0.5094 eV/atom

---

Compound: NaNb
Source: Alexandria
Functional: PBE-GGA
Structure: optimized geometry

Cell lengths 2.718, 5.975, 2.787 Å; angles 90.00, 110.54, 90.00 degrees
Fractional positions:
Na: 0.000 0.000 0.000
Nb: 0.500 0.500 0.500

Output
Electronic total energy   -5.0428 eV/atom
Formation energy   0.65 eV per atom
Magnetization   0.00 μB/f.u.
Polymorph energy (0 for the lowest one)   0.1014 eV/atom

---

Compound: NaNb
Source: Alexandria
Functional: PBE-GGA
Structure: optimized geometry

Cell lengths 11.848, 11.848, 2.836 Å; angles 90.00, 90.00, 90.00 degrees
Fractional positions:
Na: 0.085 0.618 0.000
Na: 0.109 0.160 0.500
Na: 0.160 0.891 0.500
Na: 0.382 0.085 0.000
Na: 0.618 0.915 0.000
Na: 0.840 0.109 0.500
Na: 0.891 0.840 0.500
Na: 0.915 0.382 0.000
Nb: 0.231 0.380 0.000
Nb: 0.345 0.560 0.500
Nb: 0.380 0.769 0.000
Nb: 0.440 0.345 0.500
Nb: 0.560 0.655 0.500
Nb: 0.620 0.231 0.000
Nb: 0.655 0.440 0.500
Nb: 0.769 0.620 0.000

Output
Electronic total energy   -5.1442 eV/atom
Formation energy   0.55 eV per atom
Magnetization   0.00 μB/f.u.
Polymorph energy (0 for the lowest one)   0.0000 eV/atom

---

Compound: NaNb
Source: Alexandria
Functional: PBE-GGA
Structure: optimized geometry

Cell lengths 4.046, 4.046, 4.046 Å; angles 60.00, 60.00, 60.00 degrees
Fractional positions:
Na: 0.000 0.000 0.000
Nb: 0.500 0.500 0.500

Output
Electronic total energy   -3.5078 eV/atom
Formation energy   2.19 eV per atom
Magnetization   1.89 μB/f.u.
Polymorph energy (0 for the lowest one)   1.6365 eV/atom

---

Compound: Na3Nb
Source: Alexandria
Functional: PBE-GGA
Structure: optimized geometry

Cell lengths 6.189, 6.189, 6.189 Å; angles 134.82, 134.82, 65.82 degrees
Fractional positions:
Na: 0.000 0.000 0.000
Na: 0.250 0.750 0.500
Na: 0.750 0.250 0.500
Nb: 0.500 0.500 0.000

Output
Electronic total energy   -2.5342 eV/atom
Formation energy   0.97 eV per atom
Magnetization   4.29 μB/f.u.

---

Compound: NaNb
Source: Alexandria
Functional: PBE-GGA
Structure: optimized geometry

Cell lengths 6.230, 6.230, 9.145 Å; angles 90.00, 90.00, 90.00 degrees
Fractional positions:
Na: 0.021 0.196 0.365
Na: 0.196 0.021 0.635
Na: 0.304 0.521 0.615
Na: 0.479 0.696 0.885
Na: 0.521 0.304 0.385
Na: 0.696 0.479 0.115
Na: 0.804 0.979 0.135
Na: 0.979 0.804 0.865
Nb: 0.097 0.310 0.921
Nb: 0.190 0.597 0.171
Nb: 0.310 0.097 0.079
Nb: 0.403 0.810 0.329
Nb: 0.597 0.190 0.829
Nb: 0.690 0.903 0.579
Nb: 0.810 0.403 0.671
Nb: 0.903 0.690 0.421

Output
Electronic total energy   -4.8793 eV/atom
Formation energy   0.82 eV per atom
Magnetization   0.00 μB/f.u.
Polymorph energy (0 for the lowest one)   0.2650 eV/atom

---

Compound: NaNb
Source: Alexandria
Functional: PBE-GGA
Structure: optimized geometry

Cell lengths 5.807, 5.807, 6.137 Å; angles 90.00, 90.00, 90.00 degrees
Fractional positions:
Na: 0.156 0.156 0.000
Na: 0.344 0.656 0.500
Na: 0.656 0.344 0.500
Na: 0.844 0.844 0.000
Nb: 0.132 0.132 0.500
Nb: 0.368 0.632 0.000
Nb: 0.632 0.368 0.000
Nb: 0.868 0.868 0.500

Output
Electronic total energy   -4.2533 eV/atom
Formation energy   1.44 eV per atom
Magnetization   0.00 μB/f.u.
Polymorph energy (0 for the lowest one)   0.8909 eV/atom

---

Compound: NaNb
Source: Alexandria
Functional: PBE-GGA
Structure: optimized geometry

Cell lengths 8.588, 8.588, 2.998 Å; angles 90.00, 90.00, 138.96 degrees
Fractional positions:
Na: 0.000 0.000 0.000
Na: 0.182 0.818 0.500
Na: 0.818 0.182 0.500
Nb: 0.368 0.632 0.000
Nb: 0.500 0.500 0.500
Nb: 0.632 0.368 0.000

Output
Electronic total energy   -4.9124 eV/atom
Formation energy   0.78 eV per atom
Magnetization   0.00 μB/f.u.
Polymorph energy (0 for the lowest one)   0.2318 eV/atom